## Tm3P6Pd20 (SCAN)

Data for a PBEsol-optimized structure of Tm3P6Pd20.

**Space group**: Fm-3m, No. 225
**Crystal system**: cubic
**Spin magnetization**: 0.0 μB per cell
**Energy of formation from the pure elements**: -797 meV/atom

Unit cell a=8.5164 b=8.5164 c=8.5164 alpha=60.00 beta=60.00 gamma=60.00
With the nearest neighbours (Å) after each atom.
Atoms (fractional coordinates):
Tm (0.0000, 0.0000, 0.0000)  12 Pd 2.94, 6 P 3.17
Tm (0.2500, 0.2500, 0.2500)  4 Pd 2.79
Tm (0.7500, 0.7500, 0.7500)  4 Pd 2.79
P (0.2632, 0.2632, 0.7368)  8 Pd 2.35-2.45
P (0.2632, 0.7368, 0.2632)  8 Pd 2.35-2.45
P (0.2632, 0.7368, 0.7368)  8 Pd 2.35-2.45
P (0.7368, 0.2632, 0.2632)  8 Pd 2.35-2.45
P (0.7368, 0.2632, 0.7368)  8 Pd 2.35-2.45
P (0.7368, 0.7368, 0.2632)  8 Pd 2.35-2.45
Pd (0.0000, 0.0000, 0.3455)  2 P 2.35
Pd (0.0000, 0.0000, 0.6545)  2 P 2.35
Pd (0.0000, 0.3455, 0.0000)  2 P 2.35
Pd (0.0000, 0.3455, 0.6545)  2 P 2.35
Pd (0.0000, 0.6545, 0.0000)  2 P 2.35
Pd (0.0000, 0.6545, 0.3455)  2 P 2.35
Pd (0.1519, 0.6160, 0.6160)  3 P 2.45
Pd (0.3455, 0.0000, 0.0000)  2 P 2.35
Pd (0.3455, 0.0000, 0.6545)  2 P 2.35
Pd (0.3455, 0.6545, 0.0000)  2 P 2.35
Pd (0.3840, 0.3840, 0.3840)  3 P 2.45
Pd (0.3840, 0.3840, 0.8481)  3 P 2.45
Pd (0.3840, 0.8481, 0.3840)  3 P 2.45
Pd (0.6160, 0.1519, 0.6160)  3 P 2.45
Pd (0.6160, 0.6160, 0.1519)  3 P 2.45
Pd (0.6160, 0.6160, 0.6160)  3 P 2.45
Pd (0.6545, 0.0000, 0.0000)  2 P 2.35
Pd (0.6545, 0.0000, 0.3455)  2 P 2.35
Pd (0.6545, 0.3455, 0.0000)  2 P 2.35
Pd (0.8481, 0.3840, 0.3840)  3 P 2.45


## P3PdW (SCAN)

Data for a PBEsol-optimized structure of P3PdW.

**Space group**: Pm-3m, No. 221
**Crystal system**: cubic
**Spin magnetization**: 0.0 μB per cell
**Energy of formation from the pure elements**: 734 meV/atom

Unit cell a=4.6082 b=4.6082 c=4.6082 alpha=90.00 beta=90.00 gamma=90.00
With the nearest neighbours (Å) after each atom.
Atoms (fractional coordinates):
P (0.0000, 0.0000, 0.5000)  2 W 2.30
P (0.0000, 0.5000, 0.0000)  2 W 2.30
P (0.5000, 0.0000, 0.0000)  2 W 2.30
Pd (0.5000, 0.5000, 0.5000)  12 P 3.26
W (0.0000, 0.0000, 0.0000)  6 P 2.30


## YP2Pd2 (SCAN)

Data for a PBEsol-optimized structure of YP2Pd2.

**Space group**: I4/mmm, No. 139
**Crystal system**: tetragonal
**Spin magnetization**: 0.0 μB per cell
**Energy of formation from the pure elements**: -819 meV/atom

Unit cell a=5.4180 b=5.4180 c=5.4180 alpha=132.13 beta=132.13 gamma=70.03
With the nearest neighbours (Å) after each atom.
Atoms (fractional coordinates):
Y (0.0000, 0.0000, 0.0000)  8 P 3.12, 10 Pd 3.12-3.37
P (0.2500, 0.7500, 0.5000)  4 Pd 2.38
P (0.7500, 0.2500, 0.5000)  4 Pd 2.38
Pd (0.3521, 0.3521, 0.0000)  4 P 2.38, 1 Pd 2.63
Pd (0.6479, 0.6479, 0.0000)  4 P 2.38, 1 Pd 2.63


## YP2Pd2 (SCAN)

Data for a PBEsol-optimized structure of YP2Pd2.

**Space group**: I4/mmm, No. 139
**Crystal system**: tetragonal
**Spin magnetization**: 0.0 μB per cell
**Energy of formation from the pure elements**: -1029 meV/atom

Unit cell a=5.6748 b=5.6748 c=5.6748 alpha=138.32 beta=138.32 gamma=60.42
With the nearest neighbours (Å) after each atom.
Atoms (fractional coordinates):
Y (0.0000, 0.0000, 0.0000)  8 P 3.06, 8 Pd 3.18
P (0.3886, 0.3886, 0.0000)  1 P 2.19, 4 Pd 2.43
P (0.6114, 0.6114, 0.0000)  1 P 2.19, 4 Pd 2.43
Pd (0.2500, 0.7500, 0.5000)  4 P 2.43
Pd (0.7500, 0.2500, 0.5000)  4 P 2.43


## YPPd3 (SCAN)

Data for a PBEsol-optimized structure of YPPd3.

**Space group**: Pm-3m, No. 221
**Crystal system**: cubic
**Spin magnetization**: 0.0 μB per cell
**Energy of formation from the pure elements**: -766 meV/atom

Unit cell a=4.5069 b=4.5069 c=4.5069 alpha=90.00 beta=90.00 gamma=90.00
With the nearest neighbours (Å) after each atom.
Atoms (fractional coordinates):
Y (0.0000, 0.0000, 0.0000)  12 Pd 3.19
P (0.5000, 0.5000, 0.5000)  6 Pd 2.25
Pd (0.0000, 0.5000, 0.5000)  2 P 2.25
Pd (0.5000, 0.0000, 0.5000)  2 P 2.25
Pd (0.5000, 0.5000, 0.0000)  2 P 2.25


## ZnPPd5 (SCAN)

Data for a PBEsol-optimized structure of ZnPPd5.

**Space group**: P4/mmm, No. 123
**Crystal system**: tetragonal
**Spin magnetization**: 0.0 μB per cell
**Energy of formation from the pure elements**: -515 meV/atom

Unit cell a=3.8589 b=3.8589 c=6.7537 alpha=90.00 beta=90.00 gamma=90.00
With the nearest neighbours (Å) after each atom.
Atoms (fractional coordinates):
Zn (0.0000, 0.0000, 0.0000)  12 Pd 2.73-2.76
P (0.5000, 0.5000, 0.5000)  8 Pd 2.39
Pd (0.0000, 0.5000, 0.2920)  2 P 2.39
Pd (0.0000, 0.5000, 0.7080)  2 P 2.39
Pd (0.5000, 0.0000, 0.2920)  2 P 2.39
Pd (0.5000, 0.0000, 0.7080)  2 P 2.39
Pd (0.5000, 0.5000, 0.0000)  4 Zn 2.73, 8 Pd 2.76


## ZnPPd3 (SCAN)

Data for a PBEsol-optimized structure of ZnPPd3.

**Space group**: Pm-3m, No. 221
**Crystal system**: cubic
**Spin magnetization**: 0.0 μB per cell
**Energy of formation from the pure elements**: 736 meV/atom

Unit cell a=4.4965 b=4.4965 c=4.4965 alpha=90.00 beta=90.00 gamma=90.00
With the nearest neighbours (Å) after each atom.
Atoms (fractional coordinates):
Zn (0.0000, 0.0000, 0.0000)  6 Pd 2.25
P (0.5000, 0.5000, 0.5000)  12 Pd 3.18
Pd (0.0000, 0.0000, 0.5000)  2 Zn 2.25
Pd (0.0000, 0.5000, 0.0000)  2 Zn 2.25
Pd (0.5000, 0.0000, 0.0000)  2 Zn 2.25


## Zr5P7Pd9 (SCAN)

Data for a PBEsol-optimized structure of Zr5P7Pd9.

**Space group**: Amm2, No. 38
**Crystal system**: orthorhombic
**Spin magnetization**: 0.0 μB per cell
**Energy of formation from the pure elements**: -1021 meV/atom

Unit cell a=3.8082 b=13.4566 c=13.4566 alpha=152.37 beta=90.00 gamma=90.00
With the nearest neighbours (Å) after each atom.
Atoms (fractional coordinates):
Zr (0.0000, 0.0000, 0.0000)  5 P 2.58-2.69
Zr (0.0000, 0.5290, 0.7064)  5 P 2.70-2.75, 5 Pd 2.87-3.01
Zr (0.0000, 0.7064, 0.5290)  5 P 2.70-2.75, 5 Pd 2.87-3.01
Zr (0.5000, 0.4268, 0.9698)  5 P 2.58-2.79
Zr (0.5000, 0.9698, 0.4268)  5 P 2.58-2.79
P (0.0000, 0.1260, 0.6984)  5 Pd 2.46-2.54, 2 Zr 2.67
P (0.0000, 0.4020, 0.4020)  6 Pd 2.47-2.58, 3 Zr 2.58-2.70
P (0.0000, 0.6984, 0.1260)  5 Pd 2.46-2.54, 2 Zr 2.67
P (0.5000, 0.2622, 0.5497)  6 Pd 2.41-2.66, 1 Zr 2.58
P (0.5000, 0.5497, 0.2622)  6 Pd 2.41-2.66, 1 Zr 2.58
P (0.5000, 0.8347, 0.9727)  3 Pd 2.37-2.44
P (0.5000, 0.9727, 0.8347)  3 Pd 2.37-2.44
Pd (0.0000, 0.0161, 0.2901)  3 P 2.51-2.54
Pd (0.0000, 0.2901, 0.0161)  3 P 2.51-2.54
Pd (0.0000, 0.3303, 0.7229)  4 P 2.46-2.52
Pd (0.0000, 0.7229, 0.3303)  4 P 2.46-2.52
Pd (0.5000, 0.2120, 0.3279)  4 P 2.37-2.58
Pd (0.5000, 0.3279, 0.2120)  4 P 2.37-2.58
Pd (0.5000, 0.6473, 0.6473)  4 P 2.44-2.47
Pd (0.5000, 0.6561, 0.9749)  4 P 2.43-2.66
Pd (0.5000, 0.9749, 0.6561)  4 P 2.43-2.66


## PrP2 (SCAN)

Data for a PBEsol-optimized structure of PrP2.

**Space group**: P2_1/c, No. 14
**Crystal system**: monoclinic
**Spin magnetization**: 0.0 μB per cell
**Energy of formation from the pure elements**: -1165 meV/atom

Unit cell a=3.9892 b=6.5168 c=10.1265 alpha=90.00 beta=105.69 gamma=90.00
With the nearest neighbours (Å) after each atom.
Atoms (fractional coordinates):
Pr (0.0802, 0.1809, 0.3592)  9 P 2.90-3.14
Pr (0.0802, 0.3191, 0.8592)  9 P 2.90-3.14
Pr (0.9198, 0.6809, 0.1408)  9 P 2.90-3.14
Pr (0.9198, 0.8191, 0.6408)  9 P 2.90-3.14
P (0.2993, 0.6208, 0.4534)  2 P 2.22-2.26
P (0.2993, 0.8792, 0.9534)  2 P 2.22-2.26
P (0.4611, 0.1637, 0.6639)  1 P 2.22
P (0.4611, 0.3363, 0.1639)  1 P 2.22
P (0.5389, 0.6637, 0.8361)  1 P 2.22
P (0.5389, 0.8363, 0.3361)  1 P 2.22
P (0.7007, 0.1208, 0.0466)  2 P 2.22-2.26
P (0.7007, 0.3792, 0.5466)  2 P 2.22-2.26


## PrP2Rh2 (SCAN)

Data for a PBEsol-optimized structure of PrP2Rh2.

**Space group**: P4/nmm, No. 129
**Crystal system**: tetragonal
**Spin magnetization**: 0.0 μB per cell
**Energy of formation from the pure elements**: -1229 meV/atom

Unit cell a=4.1195 b=4.1195 c=9.5291 alpha=90.00 beta=90.00 gamma=90.00
With the nearest neighbours (Å) after each atom.
Atoms (fractional coordinates):
Pr (0.2500, 0.2500, 0.2426)  8 P 3.10-3.13, 9 Rh 3.16-3.39
Pr (0.7500, 0.7500, 0.7574)  8 P 3.10-3.13, 9 Rh 3.16-3.39
P (0.2500, 0.2500, 0.6376)  5 Rh 2.38-2.44
P (0.2500, 0.7500, 0.0000)  4 Rh 2.32
P (0.7500, 0.2500, 0.0000)  4 Rh 2.32
P (0.7500, 0.7500, 0.3624)  5 Rh 2.38-2.44
Rh (0.2500, 0.2500, 0.8871)  5 P 2.32-2.38
Rh (0.2500, 0.7500, 0.5000)  4 P 2.44
Rh (0.7500, 0.2500, 0.5000)  4 P 2.44
Rh (0.7500, 0.7500, 0.1129)  5 P 2.32-2.38


## PrPS (SCAN)

Data for a PBEsol-optimized structure of PrPS.

**Space group**: Pnma, No. 62
**Formation energy from raw total energies**: -1696 meV per atom
**Crystal system**: orthorhombic
**Spin magnetization**: 0.0 μB per cell

Unit cell a=7.1984 b=3.7299 c=9.4188 alpha=90.00 beta=90.00 gamma=90.00
With the nearest neighbours (Å) after each atom.
Atoms (fractional coordinates):
Pr (0.2015, 0.2500, 0.1575)  5 S 2.86-3.04, 4 P 2.98-3.04
Pr (0.2985, 0.7500, 0.6575)  5 S 2.86-3.04, 4 P 2.98-3.04
Pr (0.7015, 0.2500, 0.3425)  5 S 2.86-3.04, 4 P 2.98-3.04
Pr (0.7985, 0.7500, 0.8425)  5 S 2.86-3.04, 4 P 2.98-3.04
P (0.0844, 0.2500, 0.4623)  2 P 2.34
P (0.4156, 0.7500, 0.9623)  2 P 2.34
P (0.5844, 0.2500, 0.0377)  2 P 2.34
P (0.9156, 0.7500, 0.5377)  2 P 2.34
S (0.1006, 0.2500, 0.8445)  5 Pr 2.86-3.04, 2 P 3.14
S (0.3994, 0.7500, 0.3445)  5 Pr 2.86-3.04, 2 P 3.14
S (0.6006, 0.2500, 0.6555)  5 Pr 2.86-3.04, 2 P 3.14
S (0.8994, 0.7500, 0.1555)  5 Pr 2.86-3.04, 2 P 3.14


## PrPS4 (SCAN)

Data for a PBEsol-optimized structure of PrPS4.

**Space group**: I4_1/acd, No. 142
**Formation energy from raw total energies**: -1267 meV per atom
**Crystal system**: tetragonal
**Spin magnetization**: 0.0 μB per cell

Unit cell a=12.2862 b=12.2862 c=12.2862 alpha=127.58 beta=127.58 gamma=77.30
With the nearest neighbours (Å) after each atom.
Atoms (fractional coordinates):
Pr (0.1250, 0.3750, 0.7500)  8 S 2.92-2.98
Pr (0.1250, 0.8750, 0.2500)  8 S 2.89-3.03
Pr (0.3750, 0.1250, 0.2500)  8 S 2.92-2.98
Pr (0.3750, 0.6250, 0.7500)  8 S 2.89-3.03
Pr (0.6250, 0.3750, 0.2500)  8 S 2.89-3.03
Pr (0.6250, 0.8750, 0.7500)  8 S 2.92-2.98
Pr (0.8750, 0.1250, 0.7500)  8 S 2.89-3.03
Pr (0.8750, 0.6250, 0.2500)  8 S 2.92-2.98
P (0.2120, 0.2500, 0.4620)  4 S 2.04-2.05
P (0.2500, 0.2880, 0.0380)  4 S 2.04-2.05
P (0.2500, 0.7880, 0.5380)  4 S 2.04-2.05
P (0.2880, 0.7500, 0.0380)  4 S 2.04-2.05
P (0.7120, 0.2500, 0.9620)  4 S 2.04-2.05
P (0.7500, 0.2120, 0.4620)  4 S 2.04-2.05
P (0.7500, 0.7120, 0.9620)  4 S 2.04-2.05
P (0.7880, 0.7500, 0.5380)  4 S 2.04-2.05
S (0.0899, 0.8882, 0.4808)  1 P 2.05
S (0.0927, 0.3910, 0.9808)  1 P 2.05
S (0.0936, 0.6637, 0.9324)  1 P 2.04
S (0.1090, 0.4073, 0.5192)  1 P 2.05
S (0.1118, 0.0927, 0.2017)  1 P 2.05
S (0.1612, 0.0936, 0.9299)  1 P 2.04
S (0.1637, 0.5936, 0.4324)  1 P 2.04
S (0.2313, 0.1612, 0.5676)  1 P 2.04
S (0.2687, 0.8363, 0.9299)  1 P 2.04
S (0.3363, 0.7687, 0.4299)  1 P 2.04
S (0.3388, 0.2687, 0.9324)  1 P 2.04
S (0.3882, 0.5899, 0.9808)  1 P 2.05
S (0.3910, 0.9101, 0.2983)  1 P 2.05
S (0.4064, 0.3388, 0.5701)  1 P 2.04
S (0.4073, 0.3882, 0.2983)  1 P 2.05
S (0.4101, 0.8910, 0.7983)  1 P 2.05
S (0.5899, 0.1090, 0.2017)  1 P 2.05
S (0.5927, 0.6118, 0.7017)  1 P 2.05
S (0.5936, 0.6612, 0.4299)  1 P 2.04
S (0.6090, 0.0899, 0.7017)  1 P 2.05
S (0.6118, 0.4101, 0.0192)  1 P 2.05
S (0.6612, 0.7313, 0.0676)  1 P 2.04
S (0.6637, 0.2313, 0.5701)  1 P 2.04
S (0.7313, 0.1637, 0.0701)  1 P 2.04
S (0.7687, 0.8388, 0.4324)  1 P 2.04
S (0.8363, 0.4064, 0.5676)  1 P 2.04
S (0.8388, 0.9064, 0.0701)  1 P 2.04
S (0.8882, 0.9073, 0.7983)  1 P 2.05
S (0.8910, 0.5927, 0.4808)  1 P 2.05
S (0.9064, 0.3363, 0.0676)  1 P 2.04
S (0.9073, 0.6090, 0.0192)  1 P 2.05
S (0.9101, 0.1118, 0.5192)  1 P 2.05